1.
Here is a relaxed TaPW crystal from the Alexandria database. Energies are from PBE.

Cell: 5.6797 5.6797 5.6797 Å, 149.65 149.65 43.45°
Closest atoms and distances in Å follow each position.
Fractional positions:
P  0.0115  0.0115  0.0000  4 W 2.49, 4 Ta 2.71
Ta  0.3501  0.3501  0.0000  4 P 2.71, 4 Ta 2.97
W  0.6384  0.6384  0.0000  4 P 2.49

Summary:
SG: I4mm, No. 107
ΔE to the lowest computed polymorph: 0.0 meV per atom
formation energy from the elements: -0.3 eV/f.u.

***

2.
Here is a relaxed TaTiAg crystal from the Alexandria database. Energies are from PBE.

Cell: 3.2997 3.2997 9.6839 Å, 90.00 90.00 90.00°
Closest atoms and distances in Å follow each position.
Fractional positions:
Ag  0.0000  0.5000  0.5858  4 Ti 2.83, 4 Ag 2.86
Ti  0.5000  0.0000  0.7521  4 Ta 2.83, 4 Ag 2.83
Ta  0.0000  0.5000  0.9166  4 Ti 2.83, 4 Ta 2.84
Ag  0.5000  0.0000  0.4142  4 Ti 2.83, 4 Ag 2.86
Ta  0.5000  0.0000  0.0834  4 Ti 2.83, 4 Ta 2.84
Ti  0.0000  0.5000  0.2479  4 Ta 2.83, 4 Ag 2.83

Summary:
SG: P4/nmm, No. 129
formation energy from the elements: -0.1 eV/f.u.

***

3.
Here is a relaxed TlBrO2F crystal from the Alexandria database. Energies are from PBE.

Cell: 3.8702 3.8702 5.9362 Å, 90.00 90.00 90.00°
Closest atoms and distances in Å follow each position.
Fractional positions:
Tl  0.5000  0.5000  0.5000  4 F 2.74
O  0.5000  0.0000  0.0000  2 Br 1.94
Br  0.0000  0.0000  0.0000  4 O 1.94
F  0.0000  0.0000  0.5000  4 Tl 2.74, 2 Br 2.97
O  0.0000  0.5000  0.0000  2 Br 1.94

Summary:
SG: P4/mmm, No. 123
ΔE_f (raw): -1.21 eV per formula unit

***

N(E_F) values, unit states/eV/cell, following the record order: 2.7 5.5 2.9.